Version 1
DFT (PBE-GGA) results for NbRe2W2 after structural relaxation.

Calculated values
**Fermi-level density of states**: 10.2 states/eV/cell
**Size of the total moment**: 0.00 μB/f.u.
**ρ**: 14698 kg/m3

Geometry as POSCAR:
```
NbRe2W2
1.0
4.1321 0.0000 0.0000
0.0000 4.1321 0.0000
0.0000 0.0000 11.0235
Nb Re W
2 4 4
direct
0.0000 0.0000 0.0000
0.5000 0.5000 0.5000
0.0000 0.5000 0.2500
0.0000 0.5000 0.7500
0.5000 0.0000 0.2500
0.5000 0.0000 0.7500
0.0000 0.0000 0.3826
0.0000 0.0000 0.6174
0.5000 0.5000 0.1174
0.5000 0.5000 0.8826
```


Version 2
DFT (PBE-GGA) results for NbRe2W2 after structural relaxation.

Calculated values
**Fermi-level density of states**: 3.8 states/eV/cell
**Size of the total moment**: 0.00 μB/f.u.
**ρ**: 16409 kg/m3

Geometry as POSCAR:
```
NbRe2W2
1.0
7.5971 0.0000 0.0000
0.0000 7.5971 0.0000
0.0000 0.0000 2.9212
Nb Re W
2 4 4
direct
0.0000 0.0000 0.0000
0.5000 0.5000 0.0000
0.1514 0.3486 0.5000
0.3486 0.8486 0.5000
0.6514 0.1514 0.5000
0.8486 0.6514 0.5000
0.1478 0.6478 0.0000
0.3522 0.1478 0.0000
0.6478 0.8522 0.0000
0.8522 0.3522 0.0000
```


Tell me which of them is the most stable. Sure, it is version 2.


Version 1
DFT (PBE-GGA) results for Nb4ReW2 after structural relaxation.

Calculated values
**Fermi-level density of states**: 15.4 states/eV/cell
**Size of the total moment**: 0.00 μB/f.u.
**ρ**: 11915 kg/m3

Geometry as POSCAR:
```
Nb4ReW2
1.0
2.6510 0.0000 0.0000
0.0000 35.9489 0.0000
0.0000 0.0000 2.7069
Nb Re W
8 2 4
direct
0.0000 0.1390 0.0000
0.0000 0.2132 0.5000
0.0000 0.7868 0.5000
0.0000 0.8610 0.0000
0.5000 0.2868 0.5000
0.5000 0.3610 0.0000
0.5000 0.6390 0.0000
0.5000 0.7132 0.5000
0.0000 0.5000 0.5000
0.5000 0.0000 0.5000
0.0000 0.4324 0.0000
0.0000 0.5676 0.0000
0.5000 0.0676 0.0000
0.5000 0.9324 0.0000
```


Version 2
DFT (PBE-GGA) results for Nb4ReW2 after structural relaxation.

Calculated values
**Fermi-level density of states**: 14.2 states/eV/cell
**Size of the total moment**: 0.06 μB/f.u.
**ρ**: 11836 kg/m3

Geometry as POSCAR:
```
Nb4ReW2
1.0
6.3706 0.0000 0.0000
0.0000 6.3706 0.0000
0.0000 0.0000 6.3988
Nb Re W
8 2 4
direct
0.2500 0.2500 0.2500
0.2500 0.2500 0.7500
0.2500 0.7500 0.2500
0.2500 0.7500 0.7500
0.7500 0.2500 0.2500
0.7500 0.2500 0.7500
0.7500 0.7500 0.2500
0.7500 0.7500 0.7500
0.0000 0.0000 0.0000
0.5000 0.5000 0.5000
0.0000 0.5000 0.0000
0.0000 0.5000 0.5000
0.5000 0.0000 0.0000
0.5000 0.0000 0.5000
```


Tell me which of them is the most stable. Sure, it is version 2.


Version 1
DFT (PBE-GGA) results for Nb6ReW after structural relaxation.

Calculated values
**Fermi-level density of states**: 8.1 states/eV/cell
**Size of the total moment**: 0.00 μB/f.u.
**ρ**: 10723 kg/m3

Geometry as POSCAR:
```
Nb6ReW
1.0
4.7689 2.7533 1.8231
-4.7689 2.7533 1.8231
0.0000 -5.5066 1.8231
Nb Re W
6 1 1
direct
0.2503 0.2503 0.7476
0.2503 0.7476 0.2503
0.2524 0.7497 0.7497
0.7476 0.2503 0.2503
0.7497 0.2524 0.7497
0.7497 0.7497 0.2524
0.5000 0.5000 0.5000
0.0000 0.0000 0.0000
```


Version 2
DFT (PBE-GGA) results for Nb6ReW after structural relaxation.

Calculated values
**Fermi-level density of states**: 20.3 states/eV/cell
**Size of the total moment**: 0.00 μB/f.u.
**ρ**: 11056 kg/m3

Geometry as POSCAR:
```
Nb6ReW
1.0
4.5853 0.0000 0.0000
0.0000 6.5635 0.0000
0.0000 0.0000 9.2575
Nb Re W
12 2 2
direct
0.0000 0.0000 0.0000
0.0000 0.2449 0.2501
0.0000 0.2551 0.7501
0.0000 0.5000 0.5000
0.0000 0.7449 0.7501
0.0000 0.7551 0.2501
0.5000 0.0000 0.7502
0.5000 0.2471 0.5007
0.5000 0.2529 0.0007
0.5000 0.5000 0.2502
0.5000 0.7471 0.0007
0.5000 0.7529 0.5007
0.5000 0.0000 0.2512
0.5000 0.5000 0.7512
0.0000 0.0000 0.5006
0.0000 0.5000 0.0006
```


Tell me which of them is the most stable. Sure, it is version 2.


Version 1
DFT (PBE-GGA) results for Nb3ReW2 after structural relaxation.

Calculated values
**Fermi-level density of states**: 6.5 states/eV/cell
**Size of the total moment**: 0.00 μB/f.u.
**ρ**: 13675 kg/m3

Geometry as POSCAR:
```
Nb3ReW2
1.0
2.2813 -6.8472 0.0000
2.2813 6.8472 0.0000
0.0000 0.0000 6.4727
Nb Re W
6 2 4
direct
0.0000 0.0000 0.2486
0.0000 0.0000 0.7514
0.3327 0.6673 0.2481
0.3327 0.6673 0.7519
0.6673 0.3327 0.2481
0.6673 0.3327 0.7519
0.1664 0.8336 0.0000
0.8336 0.1664 0.0000
0.1670 0.8330 0.5000
0.5000 0.5000 0.0000
0.5000 0.5000 0.5000
0.8330 0.1670 0.5000
```


Version 2
DFT (PBE-GGA) results for Nb3ReW2 after structural relaxation.

Calculated values
**Fermi-level density of states**: 11.2 states/eV/cell
**Size of the total moment**: 0.00 μB/f.u.
**ρ**: 13258 kg/m3

Geometry as POSCAR:
```
Nb3ReW2
1.0
3.9761 -4.2137 0.0000
3.9761 4.2137 0.0000
-0.8395 0.0000 6.2243
Nb Re W
6 2 4
direct
0.0842 0.9158 0.7500
0.1829 0.3402 0.9962
0.3402 0.1829 0.4962
0.6598 0.8171 0.5038
0.8171 0.6598 0.0038
0.9158 0.0842 0.2500
0.4168 0.5832 0.7500
0.5832 0.4168 0.2500
0.1297 0.6271 0.3774
0.3729 0.8703 0.1226
0.6271 0.1297 0.8774
0.8703 0.3729 0.6226
```


Tell me which of them is the most stable. Sure, it is version 1.


Version 1
DFT (PBE-GGA) results for NbReW2 after structural relaxation.

Calculated values
**Fermi-level density of states**: 7.3 states/eV/cell
**Size of the total moment**: 0.00 μB/f.u.
**ρ**: 16523 kg/m3

Geometry as POSCAR:
```
NbReW2
1.0
6.3825 0.0000 0.0000
0.0000 6.3825 0.0000
0.0000 0.0000 6.3825
Nb Re W
4 4 8
direct
0.0000 0.0000 0.0000
0.0000 0.5000 0.5000
0.5000 0.0000 0.5000
0.5000 0.5000 0.0000
0.0000 0.0000 0.5000
0.0000 0.5000 0.0000
0.5000 0.0000 0.0000
0.5000 0.5000 0.5000
0.2500 0.2500 0.2500
0.2500 0.2500 0.7500
0.2500 0.7500 0.2500
0.2500 0.7500 0.7500
0.7500 0.2500 0.2500
0.7500 0.2500 0.7500
0.7500 0.7500 0.2500
0.7500 0.7500 0.7500
```


Version 2
DFT (PBE-GGA) results for NbReW2 after structural relaxation.

Calculated values
**Fermi-level density of states**: 2.4 states/eV/cell
**Size of the total moment**: 0.00 μB/f.u.
**ρ**: 16516 kg/m3

Geometry as POSCAR:
```
NbReW2
1.0
4.5122 0.0000 0.0000
0.0000 4.5122 0.0000
0.0000 0.0000 3.1940
Nb Re W
1 1 2
direct
0.0000 0.0000 0.0000
0.5000 0.5000 0.0000
0.0000 0.5000 0.5000
0.5000 0.0000 0.5000
```


Version 3
DFT (PBE-GGA) results for NbReW2 after structural relaxation.

Calculated values
**Fermi-level density of states**: 6.0 states/eV/cell
**Size of the total moment**: 0.00 μB/f.u.
**ρ**: 14965 kg/m3

Geometry as POSCAR:
```
NbReW2
1.0
3.0066 0.0000 0.0000
0.0000 4.4829 0.0000
0.0000 0.0000 10.6493
Nb Re W
2 2 4
direct
0.0000 0.0000 0.0000
0.5000 0.5000 0.5000
0.0000 0.0000 0.5000
0.5000 0.5000 0.0000
0.0000 0.0000 0.2677
0.0000 0.0000 0.7323
0.5000 0.5000 0.2323
0.5000 0.5000 0.7677
```


Version 4
DFT (PBE-GGA) results for NbReW2 after structural relaxation.

Calculated values
**Fermi-level density of states**: 16.3 states/eV/cell
**Size of the total moment**: 0.00 μB/f.u.
**ρ**: 15000 kg/m3

Geometry as POSCAR:
```
NbReW2
1.0
7.3037 0.0000 0.0000
0.0000 7.3037 0.0000
0.0000 0.0000 5.3692
Nb Re W
4 4 8
direct
0.0000 0.0000 0.0000
0.0000 0.5000 0.2500
0.5000 0.0000 0.7500
0.5000 0.5000 0.5000
0.0000 0.0000 0.5000
0.0000 0.5000 0.7500
0.5000 0.0000 0.2500
0.5000 0.5000 0.0000
0.2294 0.2500 0.6250
0.2500 0.7294 0.8750
0.2500 0.7706 0.3750
0.2706 0.2500 0.1250
0.7294 0.7500 0.1250
0.7500 0.2294 0.3750
0.7500 0.2706 0.8750
0.7706 0.7500 0.6250
```


Tell me which of them is the most stable. Sure, it is version 1.


Version 1
DFT (PBE-GGA) results for Nb4ReW3 after structural relaxation.

Calculated values
**Fermi-level density of states**: 3.4 states/eV/cell
**Size of the total moment**: 0.00 μB/f.u.
**ρ**: 13630 kg/m3

Geometry as POSCAR:
```
Nb4ReW3
1.0
3.2308 0.0000 0.0000
0.0000 4.5721 0.0000
0.0000 0.0000 9.1497
Nb Re W
4 1 3
direct
0.0000 0.0000 0.0000
0.0000 0.0000 0.5000
0.0000 0.5000 0.2472
0.0000 0.5000 0.7528
0.5000 0.5000 0.0000
0.5000 0.0000 0.2492
0.5000 0.0000 0.7508
0.5000 0.5000 0.5000
```


Version 2
DFT (PBE-GGA) results for Nb4ReW3 after structural relaxation.

Calculated values
**Fermi-level density of states**: 11.0 states/eV/cell
**Size of the total moment**: 0.00 μB/f.u.
**ρ**: 13377 kg/m3

Geometry as POSCAR:
```
Nb4ReW3
1.0
9.1954 0.0000 0.0000
0.0000 5.4717 0.0000
0.0000 0.0000 5.4737
Nb Re W
8 2 6
direct
0.0000 0.2249 0.0000
0.0000 0.7278 0.0020
0.2494 0.4137 0.2467
0.2506 0.5863 0.7467
0.5000 0.2722 0.5020
0.5000 0.7751 0.5000
0.7494 0.5863 0.7467
0.7506 0.4137 0.2467
0.0000 0.2668 0.5020
0.5000 0.7332 0.0020
0.0000 0.7713 0.4967
0.2477 0.0858 0.7440
0.2523 0.9142 0.2440
0.5000 0.2287 0.9967
0.7477 0.9142 0.2440
0.7523 0.0858 0.7440
```


Tell me which of them is the most stable. Sure, it is version 1.


Version 1
DFT (PBE-GGA) results for Nb4ReW after structural relaxation.

Calculated values
**Fermi-level density of states**: 5.9 states/eV/cell
**Size of the total moment**: 0.00 μB/f.u.
**ρ**: 10051 kg/m3

Geometry as POSCAR:
```
Nb4ReW
1.0
4.4181 0.0000 0.0000
0.0000 4.4181 0.0000
0.0000 0.0000 6.2775
Nb Re W
4 1 1
direct
0.0000 0.5000 0.2480
0.0000 0.5000 0.7520
0.5000 0.0000 0.2480
0.5000 0.0000 0.7520
0.0000 0.0000 0.0000
0.5000 0.5000 0.5000
```


Version 2
DFT (PBE-GGA) results for Nb4ReW after structural relaxation.

Calculated values
**Fermi-level density of states**: 4.4 states/eV/cell
**Size of the total moment**: 0.00 μB/f.u.
**ρ**: 11950 kg/m3

Geometry as POSCAR:
```
Nb4ReW
1.0
3.2397 0.0000 0.0000
0.0000 3.2397 0.0000
0.0000 0.0000 9.8196
Nb Re W
4 1 1
direct
0.0000 0.0000 0.1609
0.0000 0.0000 0.8391
0.5000 0.5000 0.3367
0.5000 0.5000 0.6633
0.5000 0.5000 0.0000
0.0000 0.0000 0.5000
```


Tell me which of them is the most stable. Sure, it is version 2.


Version 1
DFT (PBE-GGA) results for NbReW after structural relaxation.

Calculated values
**Fermi-level density of states**: 1.7 states/eV/cell
**Size of the total moment**: 0.00 μB/f.u.
**ρ**: 15706 kg/m3

Geometry as POSCAR:
```
NbReW
1.0
4.5145 0.0000 0.0000
-2.2572 3.9097 0.0000
0.0000 0.0000 2.7731
Nb Re W
1 1 1
direct
0.0000 0.0000 0.0000
0.3333 0.6667 0.6639
0.6667 0.3333 0.3443
```


Version 2
DFT (PBE-GGA) results for NbReW after structural relaxation.

Calculated values
**Fermi-level density of states**: 4.5 states/eV/cell
**Size of the total moment**: 0.00 μB/f.u.
**ρ**: 15647 kg/m3

Geometry as POSCAR:
```
NbReW
1.0
3.2018 0.0000 0.0000
0.0000 13.5945 0.0000
0.0000 0.0000 4.5149
Nb Re W
4 4 4
direct
0.0000 0.0830 0.2500
0.0000 0.9170 0.7500
0.5000 0.4170 0.7500
0.5000 0.5830 0.2500
0.0000 0.4151 0.2500
0.0000 0.5849 0.7500
0.5000 0.0849 0.7500
0.5000 0.9151 0.2500
0.0000 0.2481 0.7500
0.0000 0.7519 0.2500
0.5000 0.2519 0.2500
0.5000 0.7481 0.7500
```


Version 3
DFT (PBE-GGA) results for NbReW after structural relaxation.

Calculated values
**Fermi-level density of states**: 3.4 states/eV/cell
**Size of the total moment**: 0.00 μB/f.u.
**ρ**: 15616 kg/m3

Geometry as POSCAR:
```
NbReW
1.0
3.1873 0.0000 0.0000
0.0000 3.1873 0.0000
0.0000 0.0000 9.6920
Nb Re W
2 2 2
direct
0.0000 0.0000 0.0000
0.5000 0.5000 0.5000
0.0000 0.0000 0.6692
0.5000 0.5000 0.1692
0.0000 0.0000 0.3290
0.5000 0.5000 0.8290
```


Tell me which of them is the most stable. Sure, it is version 2.


Version 1
DFT (PBE-GGA) results for YNb2Re2 after structural relaxation.

Calculated values
**Fermi-level density of states**: 11.5 states/eV/cell
**Size of the total moment**: 0.00 μB/f.u.
**ρ**: 10268 kg/m3

Geometry as POSCAR:
```
YNb2Re2
1.0
4.3940 0.0000 0.0000
0.0000 4.3940 0.0000
0.0000 0.0000 10.8407
Y Nb Re
2 4 4
direct
0.0000 0.0000 0.0000
0.5000 0.5000 0.5000
0.0000 0.5000 0.2500
0.0000 0.5000 0.7500
0.5000 0.0000 0.2500
0.5000 0.0000 0.7500
0.0000 0.0000 0.3842
0.0000 0.0000 0.6158
0.5000 0.5000 0.1158
0.5000 0.5000 0.8842
```


Version 2
DFT (PBE-GGA) results for YNb2Re2 after structural relaxation.

Calculated values
**Fermi-level density of states**: 11.1 states/eV/cell
**Size of the total moment**: 0.00 μB/f.u.
**ρ**: 11229 kg/m3

Geometry as POSCAR:
```
YNb2Re2
1.0
7.8743 0.0000 0.0000
0.0000 7.8743 0.0000
0.0000 0.0000 3.0869
Y Nb Re
2 4 4
direct
0.0000 0.0000 0.0000
0.5000 0.5000 0.0000
0.1460 0.3540 0.5000
0.3540 0.8540 0.5000
0.6460 0.1460 0.5000
0.8540 0.6460 0.5000
0.1449 0.6449 0.0000
0.3551 0.1449 0.0000
0.6449 0.8551 0.0000
0.8551 0.3551 0.0000
```


Tell me which of them is the most stable. Sure, it is version 1.


Version 1
DFT (PBE-GGA) results for Y2NbRe2 after structural relaxation.

Calculated values
**Fermi-level density of states**: 10.3 states/eV/cell
**Size of the total moment**: 0.00 μB/f.u.
**ρ**: 9738 kg/m3

Geometry as POSCAR:
```
Y2NbRe2
1.0
6.7464 0.0000 0.0000
0.0000 6.7464 0.0000
0.0000 0.0000 4.8191
Y Nb Re
4 2 4
direct
0.1760 0.3240 0.0000
0.3240 0.8240 0.0000
0.6760 0.1760 0.0000
0.8240 0.6760 0.0000
0.0000 0.0000 0.5000
0.5000 0.5000 0.5000
0.1274 0.6274 0.5000
0.3726 0.1274 0.5000
0.6274 0.8726 0.5000
0.8726 0.3726 0.5000
```


Version 2
DFT (PBE-GGA) results for Y2NbRe2 after structural relaxation.

Calculated values
**Fermi-level density of states**: 8.2 states/eV/cell
**Size of the total moment**: 0.00 μB/f.u.
**ρ**: 9046 kg/m3

Geometry as POSCAR:
```
Y2NbRe2
1.0
3.5118 0.0000 0.0000
0.0000 3.5118 0.0000
0.0000 0.0000 19.1454
Y Nb Re
4 2 4
direct
0.0000 0.0000 0.1129
0.0000 0.0000 0.8871
0.5000 0.5000 0.3871
0.5000 0.5000 0.6129
0.0000 0.0000 0.5000
0.5000 0.5000 0.0000
0.0000 0.5000 0.2500
0.0000 0.5000 0.7500
0.5000 0.0000 0.2500
0.5000 0.0000 0.7500
```


Tell me which of them is the most stable. Sure, it is version 1.


Version 1
DFT (PBE-GGA) results for NbZnRe3 after structural relaxation.

Calculated values
**Fermi-level density of states**: 6.6 states/eV/cell
**Size of the total moment**: 2.71 μB/f.u.
**ρ**: 10941 kg/m3

Geometry as POSCAR:
```
NbZnRe3
1.0
4.7741 0.0000 0.0000
0.0000 4.7741 0.0000
0.0000 0.0000 4.7741
Nb Zn Re
1 1 3
direct
0.0000 0.0000 0.0000
0.5000 0.5000 0.5000
0.0000 0.0000 0.5000
0.0000 0.5000 0.0000
0.5000 0.0000 0.0000
```


Version 2
DFT (PBE-GGA) results for NbZnRe3 after structural relaxation.

Calculated values
**Fermi-level density of states**: 6.7 states/eV/cell
**Size of the total moment**: 0.00 μB/f.u.
**ρ**: 13398 kg/m3

Geometry as POSCAR:
```
NbZnRe3
1.0
4.4624 0.0000 0.0000
0.0000 4.4624 0.0000
0.0000 0.0000 4.4624
Nb Zn Re
1 1 3
direct
0.0000 0.0000 0.0000
0.5000 0.5000 0.5000
0.0000 0.5000 0.5000
0.5000 0.0000 0.5000
0.5000 0.5000 0.0000
```


Tell me which of them is the most stable. Sure, it is version 2.